First-principles (PBE-GGA) data for an optimized crystal structure of Nb2AsPd, as listed in OQMD.

```
Nb2AsPd
1.0
0.0121 -3.6316 -2.7817
2.1854 -3.8230 1.2390
-2.3867 -3.7408 1.1119
As Nb Pd
1 2 1
direct
0.5000 0.5000 0.5000
0.0000 0.0000 0.0000
0.7500 0.7500 0.7500
0.2500 0.2500 0.2500
```

Calculated values
The space group is F-43m, No. 216. The value obtained for the electronic total energy is -7.4118 eV per atom.


First-principles (PBE-GGA) data for an optimized crystal structure of NbAsPt2, as listed in OQMD.

```
NbAsPt2
1.0
-2.2769 -3.6419 -1.4018
-1.5551 -2.9889 3.0102
-4.4393 -0.3252 0.7744
As Nb Pt
1 1 2
direct
0.5000 0.5000 0.5000
0.2500 0.2500 0.2500
0.0000 0.0000 0.0000
0.7500 0.7500 0.7500
```

Calculated values
The space group is F-43m, No. 216. The value obtained for the electronic total energy is -7.0191 eV per atom.


First-principles (PBE-GGA) data for an optimized crystal structure of Rb7NbAs4, as listed in OQMD.

```
Rb7NbAs4
1.0
-7.4662 -4.2894 -6.3658
-1.1396 -7.2716 6.2364
-6.1650 4.5424 4.1699
As Nb Rb
8 2 14
direct
0.0000 0.3149 0.2899
0.3033 0.8038 0.4086
0.6967 0.8038 0.4086
0.5000 0.4226 0.4241
0.5000 0.6851 0.7899
0.1967 0.1962 0.9086
0.8033 0.1962 0.9086
0.0000 0.5774 0.9241
0.0000 0.3237 0.0010
0.5000 0.6763 0.5010
0.5000 0.8965 0.1058
0.2895 0.5343 0.1255
0.7105 0.5343 0.1255
0.0000 0.9680 0.1280
0.2873 0.1685 0.2930
0.7127 0.1685 0.2930
0.0000 0.6580 0.3360
0.0000 0.1035 0.6058
0.2105 0.4657 0.6255
0.7895 0.4657 0.6255
0.5000 0.0320 0.6280
0.2127 0.8315 0.7930
0.7873 0.8315 0.7930
0.5000 0.3420 0.8360
```

Calculated values
The space group is Pmn2_1, No. 31. The value obtained for the electronic total energy is -3.3744 eV per atom.


First-principles (PBE-GGA) data for an optimized crystal structure of Rb3Nb2AsSe11, as listed in OQMD.

```
Rb3Nb2AsSe11
1.0
1.6357 0.0000 -10.0170
-7.6754 -6.8221 -0.0729
-7.6754 6.8221 -0.0729
As Nb Rb Se
2 4 6 22
direct
0.3640 0.8743 0.5516
0.8640 0.5516 0.8743
0.5996 0.4995 0.0926
0.4135 0.7521 0.2059
0.0996 0.0926 0.4995
0.9135 0.2059 0.7521
0.0171 0.8521 0.0105
0.1831 0.2475 0.1106
0.6831 0.1106 0.2475
0.9277 0.6448 0.4867
0.4277 0.4867 0.6448
0.5171 0.0105 0.8521
0.8556 0.4619 0.1011
0.2099 0.5978 0.1049
0.3542 0.9667 0.1276
0.6707 0.7660 0.1767
0.4364 0.4726 0.2765
0.0153 0.9768 0.3160
0.6594 0.4213 0.3416
0.6064 0.7813 0.3939
0.2565 0.7201 0.4016
0.1594 0.3416 0.4213
0.3556 0.1011 0.4619
0.9364 0.2765 0.4726
0.7099 0.1049 0.5978
0.8962 0.9762 0.6464
0.1754 0.8914 0.6811
0.7565 0.4016 0.7201
0.1707 0.1767 0.7660
0.1064 0.3939 0.7813
0.6754 0.6811 0.8914
0.8542 0.1276 0.9667
0.3962 0.6464 0.9762
0.5153 0.3160 0.9768
```

Calculated values
The space group is Cc, No. 9. The value obtained for the electronic total energy is -4.6275 eV per atom.


First-principles (PBE-GGA) data for an optimized crystal structure of Nb2ReAs, as listed in OQMD.

```
Nb2ReAs
1.0
0.0000 3.2025 3.2025
3.2025 0.0000 3.2025
3.2025 3.2025 0.0000
As Nb Re
1 2 1
direct
0.5000 0.5000 0.5000
0.0000 0.0000 0.0000
0.7500 0.7500 0.7500
0.2500 0.2500 0.2500
```

Calculated values
The space group is F-43m, No. 216. The value obtained for the electronic total energy is -9.1825 eV per atom.


First-principles (PBE-GGA) data for an optimized crystal structure of NbReAs, as listed in OQMD.

```
NbReAs
1.0
0.0000 3.0570 3.0570
3.0570 0.0000 3.0570
3.0570 3.0570 0.0000
As Nb Re
1 1 1
direct
0.5000 0.5000 0.5000
0.7500 0.7500 0.7500
0.0000 0.0000 0.0000
```

Calculated values
The space group is F-43m, No. 216. The energy above the most stable polymorph in this dataset is 0.000 eV per atom.


First-principles (PBE-GGA) data for an optimized crystal structure of NbSbAs, as listed in OQMD.

```
NbSbAs
1.0
-3.2967 2.6386 1.9470
-2.8377 -1.8141 3.2060
0.3865 1.2976 4.4484
As Nb Sb
1 1 1
direct
0.2500 0.2500 0.2500
0.0000 0.0000 0.0000
0.7500 0.7500 0.7500
```

Calculated values
The space group is F-43m, No. 216. The energy above the most stable polymorph in this dataset is 0.000 eV per atom.


First-principles (PBE-GGA) data for an optimized crystal structure of NbSbAs, as listed in OQMD.

```
NbSbAs
1.0
-1.1291 -2.0749 3.9319
0.8423 2.0662 4.0077
-3.4746 1.6079 2.5263
As Nb Sb
1 1 1
direct
0.0000 0.0000 0.0000
0.2500 0.2500 0.2500
0.7500 0.7500 0.7500
```

Calculated values
The space group is F-43m, No. 216. The energy above the most stable polymorph in this dataset is 0.241 eV per atom.


First-principles (PBE-GGA) data for an optimized crystal structure of ScNb2As2, as listed in OQMD.

```
ScNb2As2
1.0
6.5380 1.3228 -0.9881
3.7863 5.2302 1.9443
-4.5311 -4.6179 1.9014
As Nb Sc
2 2 1
direct
0.3923 0.3923 0.0000
0.6077 0.6077 0.0000
0.7500 0.2500 0.5000
0.2500 0.7500 0.5000
0.0000 0.0000 0.0000
```

Calculated values
The space group is I4/mmm, No. 139. The value obtained for the electronic total energy is -7.6659 eV per atom.


First-principles (PBE-GGA) data for an optimized crystal structure of ScNbAs, as listed in OQMD.

```
ScNbAs
1.0
0.0000 3.1059 3.1059
3.1059 0.0000 3.1059
3.1059 3.1059 0.0000
As Nb Sc
1 1 1
direct
0.0000 0.0000 0.0000
0.2500 0.2500 0.2500
0.7500 0.7500 0.7500
```

Calculated values
The space group is F-43m, No. 216. The value obtained for the electronic total energy is -7.4601 eV per atom.


First-principles (PBE-GGA) data for an optimized crystal structure of NbSiAs, as listed in OQMD.

```
NbSiAs
1.0
0.0000 3.0479 3.0479
3.0479 0.0000 3.0479
3.0479 3.0479 0.0000
As Nb Si
1 1 1
direct
0.2500 0.2500 0.2500
0.7500 0.7500 0.7500
0.0000 0.0000 0.0000
```

Calculated values
The space group is F-43m, No. 216. The energy above the most stable polymorph in this dataset is 0.968 eV per atom.


First-principles (PBE-GGA) data for an optimized crystal structure of NbSiAs, as listed in OQMD.

```
NbSiAs
1.0
6.7540 0.0000 0.0000
0.0000 3.3691 0.0000
0.0000 0.0000 8.3261
As Nb Si
4 4 4
direct
0.8637 0.7500 0.0907
0.3637 0.7500 0.4093
0.6363 0.2500 0.5907
0.1363 0.2500 0.9093
0.1246 0.2500 0.2485
0.6246 0.2500 0.2515
0.3754 0.7500 0.7485
0.8754 0.7500 0.7515
0.3863 0.7500 0.0827
0.8863 0.7500 0.4173
0.1137 0.2500 0.5827
0.6137 0.2500 0.9173
```

Calculated values
The space group is Pnma, No. 62. The energy above the most stable polymorph in this dataset is 0.167 eV per atom.